Material: Rb2NaTl6In
Method: DFT, PBE-GGA
State: optimized geometry

The structure belongs to space group Fm-3m (No. 225); the cell edges are 11.8237, 11.8237 and 11.8237 Å and the angles 90.00°, 90.00° and 90.00°. The distinct sites, in fractional coordinates, are Rb at (0.2500, 0.2500, 0.2500), Na at (0.0000, 0.0000, 0.0000), Tl at (0.0000, 0.0000, 0.2510) and In at (0.0000, 0.0000, 0.5000).

As for the energy of formation from the pure elements: 88 meV per atom. As for the size of the total moment: 0.0 μB/f.u.